Density functional theory data (GGA+U) for MnCdI2O after structural relaxation.

Structure (POSCAR):
```
MnCdI2O
1.0
5.984 0.000 0.000
0.000 5.984 0.000
0.000 0.000 4.089
Mn Cd I O
1 1 2 1
Direct
0.000 0.000 0.000 Mn
0.500 0.500 0.500 Cd
0.000 0.500 0.500 I
0.500 0.000 0.500 I
0.500 0.500 0.000 O
```

As for the symmetry: P4/mmm, No. 123. The density of states at the Fermi level comes out at 7.93 states/eV/cell. The calculation puts the energy above the most stable polymorph in this dataset at 0.445 eV/atom.

***

Density functional theory data (GGA+U) for MnCdIO2 after structural relaxation.

Structure (POSCAR):
```
MnCdIO2
1.0
2.822 -6.224 0.000
2.822 6.224 0.000
0.000 0.000 5.530
Mn Cd I O
2 2 2 4
Direct
0.019 0.981 0.750 Mn
0.981 0.019 0.250 Mn
0.398 0.602 0.750 Cd
0.602 0.398 0.250 Cd
0.257 0.743 0.250 I
0.743 0.257 0.750 I
0.233 0.233 0.000 O
0.233 0.233 0.500 O
0.767 0.767 0.000 O
0.767 0.767 0.500 O
```

As for the symmetry: Cmcm, No. 63. The calculation puts the energy above the most stable polymorph in this dataset at 0.000 eV/atom.

***

Density functional theory data (GGA+U) for MnCd2IO6 after structural relaxation.

Structure (POSCAR):
```
MnCd2IO6
1.0
5.734 0.000 0.000
0.000 5.734 0.000
0.000 0.000 4.369
Mn Cd I O
1 2 1 6
Direct
0.000 0.000 0.000 Mn
0.000 0.500 0.376 Cd
0.500 0.000 0.376 Cd
0.500 0.500 0.028 I
0.000 0.000 0.544 O
0.251 0.251 0.084 O
0.251 0.749 0.084 O
0.500 0.500 0.606 O
0.749 0.251 0.084 O
0.749 0.749 0.084 O
```

As for the symmetry: P4mm, No. 99. The density of states at the Fermi level comes out at 0.82 states/eV/cell. The raw total energy comes out at -4.712 eV/atom.